ZrPt3Br | GGA-PBE | optimized geometry

Properties
energy relative to the elements, uncorrected: 789 meV per atom
energy above the most stable polymorph in this dataset: 0 meV per atom
crystal system: cubic
D(E_F): 5.080 states/eV/f.u.
final energy: -4.8796 eV/atom

abc: 4.733 4.733 4.733
angles: 90.00 90.00 90.00
Fractional coordinates of all 5 atoms:
Zr1 0.000 0.000 0.000
Pt1 0.000 0.500 0.500
Pt2 0.500 0.000 0.500
Pt3 0.500 0.500 0.000
Br1 0.500 0.500 0.500